[1]
Material: Ca2GaBi2
Method: DFT, PBE
State: optimized geometry

Values from the calculation:
- distance to the lowest polymorph of the same formula (kJ/mol of formula units) = 0
- mass density (g/cm3) = 6.11
- volume (Å³ per cell) = 308

Cell: 8.730 8.730 7.059 Å, 90.00 90.00 145.02°
Element x y z (fractional)
Ca (0.005, 0.995, 0.500)
Ca (0.207, 0.793, 0.765)
Ca (0.793, 0.207, 0.265)
Ca (0.995, 0.005, 0.000)
Ga (0.400, 0.600, 0.677)
Ga (0.600, 0.400, 0.177)
Bi (0.168, 0.832, 0.251)
Bi (0.426, 0.574, 0.259)
Bi (0.574, 0.426, 0.759)
Bi (0.832, 0.168, 0.751)

***

[2]
Material: PmFeSbOs
Method: DFT, PBE
State: optimized geometry

Values from the calculation:
- raw formation energy (meV/atom) = 187.1
- mass density (g/cm3) = 11.76
- volume (Å³ per cell) = 72

Cell: 4.679 4.679 4.679 Å, 60.00 60.00 60.00°
Element x y z (fractional)
Pm (0.000, 0.000, 0.000)
Fe (0.750, 0.750, 0.750)
Sb (0.500, 0.500, 0.500)
Os (0.250, 0.250, 0.250)

***

For reference, spin magnetization by record: 0.0; 0.1 μB per formula unit.